VASP calculation (PBE-GGA) on a relaxed structure of Dy2ErTm6Sc3.

Lattice parameters (Å, degrees): 5.976 5.976 11.374 95.02 95.02 119.96
Sites, in units of the cell vectors:
Dy 0.167 0.833 0.000
Dy 0.833 0.167 0.000
Er 0.500 0.500 0.000
Tm 0.080 0.414 0.741
Tm 0.253 0.253 0.259
Tm 0.414 0.080 0.741
Tm 0.586 0.920 0.259
Tm 0.747 0.747 0.741
Tm 0.920 0.586 0.259
Sc 0.000 0.000 0.500
Sc 0.333 0.667 0.500
Sc 0.667 0.333 0.500

Values from the calculation:
E_form in meV/atom: 44
Calculated total energy in eV per atom: -4.922